[1]
Computed, not measured: a relaxed Li2Mg4GaAg2 crystal at the GGA-PBE level of DFT.

Unit cell a=5.3366 b=6.1072 c=6.1310 alpha=105.02 beta=90.69 gamma=113.48
Closest atoms and distances in Å follow each position.
Space group P-1 (No. 2)
Inequivalent atoms, fractional coordinates:
Li1 0.2393 0.3870 0.3747 (multiplicity 2)  1 Ga 2.68, 2 Ag 2.70-2.92, 1 Li 2.78, 4 Mg 2.95-2.97
Mg1 0.1982 0.8652 0.3715 (multiplicity 2)  3 Ag 2.86-2.89, 1 Ga 2.93, 3 Li 2.95-3.10, 1 Mg 3.14
Mg2 0.3168 0.7297 0.8375 (multiplicity 2)  1 Ga 2.83, 2 Ag 2.83-2.86, 3 Li 2.96-2.97
Ga1 0.0000 0.0000 0.0000 (multiplicity 1)  2 Ag 2.64, 2 Li 2.68, 4 Mg 2.83-2.93
Ag1 0.3668 0.2751 0.7856 (multiplicity 2)  1 Ga 2.64, 2 Li 2.70-2.92, 5 Mg 2.83-2.89

Summary:
Formation energy = -0.134 eV/atom

[2]
Computed, not measured: a relaxed DyZr2TiN4 crystal at the GGA-PBE level of DFT.

Unit cell a=5.6425 b=3.2481 c=5.6457 alpha=90.00 beta=109.22 gamma=90.00
Closest atoms and distances in Å follow each position.
Space group P2/m (No. 10)
Inequivalent atoms, fractional coordinates:
Dy1 0.0000 0.0000 0.0000 (multiplicity 1)  6 N 2.35
Zr1 0.5000 0.0000 0.5000 (multiplicity 1)  6 N 2.26
Zr2 0.5000 0.5000 0.0000 (multiplicity 1)  6 N 2.34-2.35
Ti1 0.0000 0.5000 0.5000 (multiplicity 1)  6 N 2.26
N1 0.2454 0.0000 0.7358 (multiplicity 2)  3 Zr 2.26-2.35, 2 Ti 2.26, 1 Dy 2.35
N2 0.2564 0.5000 0.2644 (multiplicity 2)  3 Zr 2.26-2.34, 1 Ti 2.26, 2 Dy 2.35

Summary:
Energy relative to the elements, uncorrected = -1.623 eV/atom

[3]
Computed, not measured: a relaxed ZrScGa2 crystal at the GGA-PBE level of DFT.

Unit cell a=7.4446 b=7.4446 c=5.9548 alpha=90.00 beta=90.00 gamma=90.00
Closest atoms and distances in Å follow each position.
Space group I-42d (No. 122)
Inequivalent atoms, fractional coordinates:
Zr1 0.0000 0.0000 0.0000 (multiplicity 4)  4 Ga 2.75, 2 Sc 2.98
Sc1 0.0000 0.0000 0.5000 (multiplicity 4)  4 Ga 2.72, 2 Zr 2.98
Ga1 0.2473 0.2500 0.6250 (multiplicity 8)  2 Sc 2.72, 2 Zr 2.75, 2 Ga 2.98

Summary:
Formation energy = -0.211 eV/atom